VASP calculation (PBE) on a geometry-optimized TbCeDy2As4 structure.

Cell: 7.1768 4.1482 7.1793 Å, 90.00 109.42 90.00°
With the nearest neighbours (Å) after each atom.
Space group P2/m (No. 10)
One atom of each set of equivalent atoms:
1 Tb 0.0000 0.0000 0.0000 (multiplicity 1)  6 As 2.93-2.94
2 Ce 0.0000 0.5000 0.5000 (multiplicity 1)  6 As 2.94-2.95
3 Dy 0.5000 0.0000 0.5000 (multiplicity 1)  6 As 2.92-2.93
4 Dy 0.5000 0.5000 0.0000 (multiplicity 1)  6 As 2.92
5 As 0.2515 0.5000 0.2502 (multiplicity 2)  3 Dy 2.92-2.93, 1 Ce 2.94, 2 Tb 2.94
6 As 0.2530 0.0000 0.7521 (multiplicity 2)  3 Dy 2.92, 1 Tb 2.93, 2 Ce 2.95

Properties
DFT formation energy (eV per formula unit): -12.10
V (Å³ per atom): 25.20
Final energy (eV per atom): -6.308

***

VASP calculation (PBE) on a geometry-optimized LiCaLa2Pt structure.

Cell: 5.6906 5.6906 5.1957 Å, 90.00 90.00 90.00°
With the nearest neighbours (Å) after each atom.
Space group P4/mmm (No. 123)
One atom of each set of equivalent atoms:
1 Li 0.0000 0.0000 0.0000 (multiplicity 1)  2 Pt 2.60
2 Ca 0.5000 0.5000 0.0000 (multiplicity 1)  8 La 3.85, 4 Li 4.02
3 La 0.0000 0.5000 0.5000 (multiplicity 2)  2 Pt 2.85
4 Pt 0.0000 0.0000 0.5000 (multiplicity 1)  2 Li 2.60, 4 La 2.85

Properties
DFT formation energy (eV per formula unit): -1.73
V (Å³ per atom): 33.65
Final energy (eV per atom): -4.309
Offset from the most stable computed form (eV per atom): 0.022

***

VASP calculation (PBE) on a geometry-optimized KTePt2 structure.

Cell: 3.2453 3.9214 7.5401 Å, 90.00 90.00 90.00°
With the nearest neighbours (Å) after each atom.
Space group Pmm2 (No. 25)
One atom of each set of equivalent atoms:
1 K 0.0000 0.0000 0.0000 (multiplicity 1)  2 K 3.25, 5 Pt 3.35-3.49
2 Te 0.5000 0.5000 0.6320 (multiplicity 1)  5 Pt 2.58-2.85
3 Pt 0.0000 0.0000 0.4628 (multiplicity 1)  4 Te 2.85, 4 Pt 2.86
4 Pt 0.5000 0.5000 0.2892 (multiplicity 1)  1 Te 2.58, 4 Pt 2.86

Properties
Uncorrected formation energy (eV/atom): -0.008
V (Å³ per atom): 23.99
Final energy (eV per atom): -4.088

***

VASP calculation (PBE) on a geometry-optimized Fe2SiSb structure.

Cell: 3.7975 4.4223 6.4401 Å, 90.00 90.00 90.00°
With the nearest neighbours (Å) after each atom.
Space group Immm (No. 71)
One atom of each set of equivalent atoms:
1 Fe 0.0000 0.0000 0.2162 (multiplicity 4)  2 Si 2.35, 4 Sb 2.61-2.64
2 Si 0.0000 0.5000 0.5000 (multiplicity 2)  4 Fe 2.35
3 Sb 0.0000 0.5000 0.0000 (multiplicity 2)  8 Fe 2.61-2.64, 4 Si 2.91

Properties
Uncorrected formation energy (eV/atom): 0.139
V (Å³ per atom): 13.52
Final energy (eV per atom): -6.478

***

VASP calculation (PBE) on a geometry-optimized FeAg5 structure.

Cell: 4.7579 2.8439 15.1122 Å, 90.00 90.00 90.00°
With the nearest neighbours (Å) after each atom.
Space group Amm2 (No. 38)
One atom of each set of equivalent atoms:
1 Fe 0.0000 0.0000 0.0000 (multiplicity 2)  10 Ag 2.83-2.89, 2 Fe 2.84
2 Ag 0.0000 0.0000 0.3377 (multiplicity 2)  2 Fe 2.83, 10 Ag 2.84-3.01
3 Ag 0.0000 0.0000 0.6622 (multiplicity 2)  2 Fe 2.83, 10 Ag 2.84-3.01
4 Ag 0.5000 0.0000 0.2241 (multiplicity 2)  12 Ag 2.84-2.93
5 Ag 0.5000 0.0000 0.5549 (multiplicity 2)  8 Ag 2.84-2.93, 4 Fe 2.89
6 Ag 0.5000 0.0000 0.8926 (multiplicity 2)  10 Ag 2.84-2.92, 2 Fe 2.88

Properties
DFT formation energy (eV per formula unit): 1.32
V (Å³ per atom): 17.04
Final energy (eV per atom): -3.567
Offset from the most stable computed form (eV per atom): 0.002

***

VASP calculation (PBE) on a geometry-optimized Ac3GeO6 structure.

Cell: 9.7887 12.2277 5.9489 Å, 90.00 90.00 90.00°
With the nearest neighbours (Å) after each atom.
Space group Cmc2_1 (No. 36)
One atom of each set of equivalent atoms:
1 Ac 0.0000 0.1045 0.0000 (multiplicity 4)  5 O 2.50-2.54
2 Ac 0.1949 0.3915 0.0382 (multiplicity 8)  6 O 2.46-2.67
3 Ge 0.0000 0.3262 0.5645 (multiplicity 4)  4 O 1.88-2.04
4 O 0.0000 0.2750 0.2426 (multiplicity 4)  1 Ge 2.01
5 O 0.0000 0.4629 0.7615 (multiplicity 4)  1 Ge 2.04
6 O 0.1427 0.2511 0.7099 (multiplicity 8)  1 Ge 1.88
7 O 0.1586 0.0097 0.2703 (multiplicity 8)  4 Ac 2.46-2.52

Properties
Uncorrected formation energy (eV/atom): -2.851
V (Å³ per atom): 17.80
Final energy (eV per atom): -7.521

***

no.,spin magnetization (μB per cell)
1,0.549
2,0.000
3,0.000
4,2.519
5,6.069
6,0.000